Te2As | PBE | optimized geometry

Structure (CIF):
```
data_Te2As
_chemical_formula_sum 'Te8 As4'
_symmetry_space_group_name_H-M 'C m c m'
_symmetry_Int_Tables_number 63
_symmetry_space_group_name_Hall '-C 2c 2'
_cell_length_a 4.090
_cell_length_b 23.258
_cell_length_c 3.854
_cell_angle_alpha 90.00
_cell_angle_beta 90.00
_cell_angle_gamma 90.00
loop_
_atom_site_label
_atom_site_type_symbol
_atom_site_fract_x
_atom_site_fract_y
_atom_site_fract_z
Te1 Te 0.000 0.045 0.250
Te2 Te 0.000 0.362 0.250
As1 As 0.000 0.280 0.750
```

Output
ΔE_f (raw) in eV/f.u.: 0.5



Na2ScSnO4 | PBE | optimized geometry

Structure (CIF):
```
data_Na2ScSnO4
_chemical_formula_sum 'Na2 Sc1 Sn1 O4'
_symmetry_space_group_name_H-M 'P 1 2/m 1'
_symmetry_Int_Tables_number 10
_cell_length_a 5.736
_cell_length_b 3.285
_cell_length_c 5.862
_cell_angle_alpha 90.00
_cell_angle_beta 108.91
_cell_angle_gamma 90.00
loop_
_symmetry_equiv_pos_as_xyz
'x,y,z'
'-x,-y,-z'
'-x,y,-z'
'x,-y,z'
loop_
_atom_site_label
_atom_site_type_symbol
_atom_site_fract_x
_atom_site_fract_y
_atom_site_fract_z
Na1 Na 0.000 0.000 0.000
Na2 Na 0.500 0.500 0.000
Sc1 Sc 0.000 0.500 0.500
Sn1 Sn 0.500 0.000 0.500
O1 O 0.223 0.000 0.704
O2 O 0.249 0.500 0.289
```

Output
ΔE_f (raw) in eV/f.u.: -16.6



SiAsIr2Au | PBE | optimized geometry

Structure (CIF):
```
data_SiAsIr2Au
_chemical_formula_sum 'Si1 As1 Ir2 Au1'
_symmetry_space_group_name_H-M 'P 4/m m m'
_symmetry_Int_Tables_number 123
_symmetry_space_group_name_Hall '-P 4 2'
_cell_length_a 4.469
_cell_length_b 4.469
_cell_length_c 4.677
_cell_angle_alpha 90.00
_cell_angle_beta 90.00
_cell_angle_gamma 90.00
loop_
_atom_site_label
_atom_site_type_symbol
_atom_site_fract_x
_atom_site_fract_y
_atom_site_fract_z
Si1 Si 0.000 0.000 0.000
As1 As 0.000 0.000 0.500
Ir1 Ir 0.000 0.500 0.000
Au1 Au 0.500 0.500 0.500
```

Output
ΔE_f (raw) in eV/f.u.: 4.1



HfSc2Zn4 | PBE | optimized geometry

Structure (CIF):
```
data_HfSc2Zn4
_chemical_formula_sum 'Hf4 Sc8 Zn16'
_symmetry_space_group_name_H-M 'F m m m'
_symmetry_Int_Tables_number 69
_symmetry_space_group_name_Hall '-F 2 2'
_cell_length_a 6.048
_cell_length_b 8.597
_cell_length_c 10.228
_cell_angle_alpha 90.00
_cell_angle_beta 90.00
_cell_angle_gamma 90.00
loop_
_atom_site_label
_atom_site_type_symbol
_atom_site_fract_x
_atom_site_fract_y
_atom_site_fract_z
Hf1 Hf 0.000 0.000 0.000
Sc1 Sc 0.000 0.000 0.301
Zn1 Zn 0.250 0.250 0.122
```

Output
Calculated formation energy in meV/atom: -112.7



Tb5DyHo6 | PBE | optimized geometry

Structure (CIF):
```
data_Tb5DyHo6
_chemical_formula_sum 'Tb10 Dy2 Ho12'
_symmetry_space_group_name_H-M 'I m m m'
_symmetry_Int_Tables_number 71
_symmetry_space_group_name_Hall '-I 2 2'
_cell_length_a 5.756
_cell_length_b 7.360
_cell_length_c 17.845
_cell_angle_alpha 90.00
_cell_angle_beta 90.00
_cell_angle_gamma 90.00
loop_
_atom_site_label
_atom_site_type_symbol
_atom_site_fract_x
_atom_site_fract_y
_atom_site_fract_z
Tb1 Tb 0.000 0.000 0.000
Tb2 Tb 0.000 0.000 0.348
Tb3 Tb 0.000 0.500 0.347
Dy1 Dy 0.000 0.500 0.000
Ho1 Ho 0.000 0.250 0.180
Ho2 Ho 0.000 0.250 0.500
```

Output
Calculated formation energy in meV/atom: 117.5



LaSc2Se | PBE | optimized geometry

Structure (CIF):
```
data_LaSc2Se
_chemical_formula_sum 'La1 Sc2 Se1'
_symmetry_space_group_name_H-M 'P 4/m m m'
_symmetry_Int_Tables_number 123
_symmetry_space_group_name_Hall '-P 4 2'
_cell_length_a 4.460
_cell_length_b 4.460
_cell_length_c 4.789
_cell_angle_alpha 90.00
_cell_angle_beta 90.00
_cell_angle_gamma 90.00
loop_
_atom_site_label
_atom_site_type_symbol
_atom_site_fract_x
_atom_site_fract_y
_atom_site_fract_z
La1 La 0.000 0.000 0.000
Sc1 Sc 0.000 0.500 0.500
Se1 Se 0.500 0.500 0.000
```

Output
ΔE_f (raw) in eV/f.u.: -1.7



TlCu4Se5 | PBE | optimized geometry

Structure (CIF):
```
data_TlCu4Se5
_chemical_formula_sum 'Tl2 Cu8 Se10'
_symmetry_space_group_name_H-M 'P m m n'
_symmetry_Int_Tables_number 59
_cell_length_a 7.443
_cell_length_b 11.144
_cell_length_c 5.192
_cell_angle_alpha 90.00
_cell_angle_beta 90.00
_cell_angle_gamma 90.00
loop_
_symmetry_equiv_pos_as_xyz
'x,y,z'
'-x,-y,-z'
'-x+1/2,-y+1/2,z'
'x+1/2,y+1/2,-z'
'x+1/2,-y,-z'
'-x+1/2,y,z'
'-x,y+1/2,-z'
'x,-y+1/2,z'
loop_
_atom_site_label
_atom_site_type_symbol
_atom_site_fract_x
_atom_site_fract_y
_atom_site_fract_z
Tl1 Tl 0.250 0.250 0.152
Cu1 Cu 0.054 0.750 0.432
Cu2 Cu 0.250 0.538 0.969
Se1 Se 0.002 0.054 0.712
Se2 Se 0.250 0.750 0.801
```

Output
ΔE_f (raw) in eV/f.u.: -1.3



NdYCd2 | PBE | optimized geometry

Structure (CIF):
```
data_NdYCd2
_chemical_formula_sum 'Nd4 Y4 Cd8'
_symmetry_space_group_name_H-M 'F m -3 m'
_symmetry_Int_Tables_number 225
_symmetry_space_group_name_Hall '-F 4 2 3'
_cell_length_a 7.616
_cell_length_b 7.616
_cell_length_c 7.616
_cell_angle_alpha 90.00
_cell_angle_beta 90.00
_cell_angle_gamma 90.00
loop_
_atom_site_label
_atom_site_type_symbol
_atom_site_fract_x
_atom_site_fract_y
_atom_site_fract_z
Nd1 Nd 0.000 0.000 0.000
Y1 Y 0.000 0.000 0.500
Cd1 Cd 0.250 0.250 0.250
```

Output
Calculated formation energy in meV/atom: -334.5



K3Dy3TiSe8 | PBE | optimized geometry

Structure (CIF):
```
data_K3Dy3TiSe8
_chemical_formula_sum 'K9 Dy9 Ti3 Se24'
_symmetry_space_group_name_H-M 'R -3 m'
_symmetry_Int_Tables_number 166
_symmetry_space_group_name_Hall '-R 3 2"'
_cell_length_a 8.1615
_cell_length_b 8.1615
_cell_length_c 23.5487
_cell_angle_alpha 90.00
_cell_angle_beta 90.00
_cell_angle_gamma 120.00
loop_
_atom_site_label
_atom_site_type_symbol
_atom_site_fract_x
_atom_site_fract_y
_atom_site_fract_z
K1 K 0.0000 0.5000 0.0000
Dy1 Dy 0.0000 0.5000 0.5000
Ti1 Ti 0.0000 0.0000 0.5000
Se1 Se 0.0000 0.0000 0.2354
Se2 Se 0.0254 0.5127 0.2306
```

Output
ΔE_f (raw) in eV/f.u.: -24.0



UAsPb | PBE | optimized geometry

Structure (CIF):
```
data_UAsPb
_chemical_formula_sum 'U2 As2 Pb2'
_symmetry_space_group_name_H-M 'P 4/n m m'
_symmetry_Int_Tables_number 129
_cell_length_a 4.194
_cell_length_b 4.194
_cell_length_c 8.534
_cell_angle_alpha 90.00
_cell_angle_beta 90.00
_cell_angle_gamma 90.00
loop_
_symmetry_equiv_pos_as_xyz
'x,y,z'
'-x,-y,-z'
'-y+1/2,x,z'
'y+1/2,-x,-z'
'-x+1/2,-y+1/2,z'
'x+1/2,y+1/2,-z'
'y,-x+1/2,z'
'-y,x+1/2,-z'
'x+1/2,-y,-z'
'-x+1/2,y,z'
'-y,-x,-z'
'y,x,z'
'-x,y+1/2,-z'
'x,-y+1/2,z'
'y+1/2,x+1/2,-z'
'-y+1/2,-x+1/2,z'
loop_
_atom_site_label
_atom_site_type_symbol
_atom_site_fract_x
_atom_site_fract_y
_atom_site_fract_z
U1 U 0.250 0.250 0.180
As1 As 0.250 0.250 0.845
Pb1 Pb 0.250 0.750 0.500
```

Output
Calculated formation energy in meV/atom: -237.3



TlCdPt2 | PBE | optimized geometry

Structure (CIF):
```
data_TlCdPt2
_chemical_formula_sum 'Tl1 Cd1 Pt2'
_symmetry_space_group_name_H-M 'P 4/m m m'
_symmetry_Int_Tables_number 123
_symmetry_space_group_name_Hall '-P 4 2'
_cell_length_a 3.018
_cell_length_b 3.018
_cell_length_c 8.151
_cell_angle_alpha 90.00
_cell_angle_beta 90.00
_cell_angle_gamma 90.00
loop_
_atom_site_label
_atom_site_type_symbol
_atom_site_fract_x
_atom_site_fract_y
_atom_site_fract_z
Tl1 Tl 0.000 0.000 0.000
Cd1 Cd 0.000 0.000 0.500
Pt1 Pt 0.500 0.500 0.257
```

Output
Calculated formation energy in meV/atom: -71.9



Ti6BN3 | PBE | optimized geometry

Structure (CIF):
```
data_Ti6BN3
_chemical_formula_sum 'Ti12 B2 N6'
_symmetry_space_group_name_H-M 'P 1 21/m 1'
_symmetry_Int_Tables_number 11
_cell_length_a 9.044
_cell_length_b 3.021
_cell_length_c 9.329
_cell_angle_alpha 90.00
_cell_angle_beta 115.37
_cell_angle_gamma 90.00
loop_
_symmetry_equiv_pos_as_xyz
'x,y,z'
'-x,-y,-z'
'-x,y+1/2,-z'
'x,-y+1/2,z'
loop_
_atom_site_label
_atom_site_type_symbol
_atom_site_fract_x
_atom_site_fract_y
_atom_site_fract_z
Ti1 Ti 0.042 0.250 0.399
Ti2 Ti 0.107 0.750 0.934
Ti3 Ti 0.231 0.750 0.274
Ti4 Ti 0.253 0.250 0.770
Ti5 Ti 0.417 0.250 0.575
Ti6 Ti 0.438 0.250 0.116
B1 B 0.217 0.750 0.566
N1 N 0.023 0.250 0.773
N2 N 0.345 0.750 0.939
N3 N 0.408 0.250 0.340
```

Output
ΔE_f (raw) in eV/f.u.: -12.3